# 1
PmNbAl2O8: relaxed, PBE.

As for the density of states at the Fermi level: 0.908 states/eV per atom. For the raw formation energy, the calculation gives -2434 meV/atom. The electronic total energy is -7.598 eV/atom.

Cell lengths 5.7929, 5.7929, 5.7929 Å; angles 108.15, 108.15, 112.15 degrees
Sites, in units of the cell vectors:
Pm: 0.0000 0.0000 0.0000
Nb: 0.7500 0.2500 0.5000
Al: 0.2500 0.7500 0.5000
Al: 0.5000 0.5000 0.0000
O: 0.0469 0.3773 0.3303
O: 0.0469 0.7166 0.6697
O: 0.1222 0.3260 0.7962
O: 0.2834 0.9531 0.3303
O: 0.5298 0.3260 0.2038
O: 0.6227 0.9531 0.6697
O: 0.6740 0.4702 0.7962
O: 0.6740 0.8778 0.2038


# 2
PrNbAlO6: relaxed, PBE.

As for the density of states at the Fermi level: 0.733 states/eV per atom. For the raw formation energy, the calculation gives -2664 meV/atom. The electronic total energy is -8.035 eV/atom.

Cell lengths 5.1959, 5.1959, 5.1247 Å; angles 90.00, 90.00, 120.00 degrees
Sites, in units of the cell vectors:
Pr: 0.0000 0.0000 0.0000
Nb: 0.6667 0.3333 0.5000
Al: 0.3333 0.6667 0.5000
O: 0.0130 0.3772 0.7111
O: 0.0130 0.6359 0.2889
O: 0.3641 0.3772 0.2889
O: 0.3641 0.9870 0.7111
O: 0.6228 0.6359 0.7111
O: 0.6228 0.9870 0.2889


# 3
PuNbAlO6: relaxed, PBE.

As for the density of states at the Fermi level: 0.527 states/eV per atom. For the raw formation energy, the calculation gives -2784 meV/atom. The electronic total energy is -9.217 eV/atom.

Cell lengths 5.1227, 5.1227, 9.6600 Å; angles 90.00, 90.00, 120.00 degrees
Sites, in units of the cell vectors:
Pu: 0.0000 0.0000 0.0000
Pu: 0.0000 0.0000 0.5000
Nb: 0.3333 0.6667 0.2500
Nb: 0.6667 0.3333 0.7500
Al: 0.3333 0.6667 0.7500
Al: 0.6667 0.3333 0.2500
O: 0.0131 0.3621 0.6389
O: 0.0131 0.6510 0.8611
O: 0.3490 0.3621 0.8611
O: 0.3490 0.9869 0.6389
O: 0.3621 0.0131 0.1389
O: 0.3621 0.3490 0.3611
O: 0.6379 0.6510 0.6389
O: 0.6379 0.9869 0.8611
O: 0.6510 0.0131 0.3611
O: 0.6510 0.6379 0.1389
O: 0.9869 0.3490 0.1389
O: 0.9869 0.6379 0.3611


# 4
Rb3NbAl2O8: relaxed, PBE.

As for the density of states at the Fermi level: 0.453 states/eV per atom. For the raw formation energy, the calculation gives -2136 meV/atom. The electronic total energy is -6.431 eV/atom.

Cell lengths 5.7864, 5.7864, 8.0630 Å; angles 90.00, 90.00, 120.00 degrees
Sites, in units of the cell vectors:
Rb: 0.0000 0.0000 0.0000
Rb: 0.3333 0.6667 0.7281
Rb: 0.6667 0.3333 0.2719
Nb: 0.0000 0.0000 0.5000
Al: 0.3333 0.6667 0.2897
Al: 0.6667 0.3333 0.7103
O: 0.1653 0.3306 0.3573
O: 0.1653 0.8347 0.3573
O: 0.3306 0.1653 0.6427
O: 0.3333 0.6667 0.0704
O: 0.6667 0.3333 0.9296
O: 0.6694 0.8347 0.3573
O: 0.8347 0.1653 0.6427
O: 0.8347 0.6694 0.6427


# 5
Rb4Nb35Al2O70: relaxed, PBE.

As for the density of states at the Fermi level: 0.189 states/eV per atom. For the raw formation energy, the calculation gives -2452 meV/atom. The electronic total energy is -8.856 eV/atom.

Cell lengths 7.9412, 7.9412, 26.9894 Å; angles 90.00, 90.00, 120.00 degrees
Sites, in units of the cell vectors:
Rb: 0.0000 0.0000 0.1774
Rb: 0.0000 0.0000 0.8226
Rb: 0.3333 0.6667 0.4650
Rb: 0.6667 0.3333 0.5350
Nb: 0.0000 0.0000 0.3127
Nb: 0.0000 0.0000 0.5000
Nb: 0.0000 0.0000 0.6873
Nb: 0.0262 0.2187 0.0435
Nb: 0.0701 0.4701 0.8675
Nb: 0.1120 0.4694 0.2290
Nb: 0.1291 0.7331 0.5933
Nb: 0.1403 0.6888 0.3154
Nb: 0.1925 0.9738 0.0435
Nb: 0.2187 0.1925 0.9565
Nb: 0.2669 0.3961 0.5933
Nb: 0.3112 0.4515 0.3154
Nb: 0.3333 0.6667 0.0370
Nb: 0.3573 0.8880 0.2290
Nb: 0.3961 0.1291 0.4067
Nb: 0.3999 0.9299 0.8675
Nb: 0.4515 0.1403 0.6846
Nb: 0.4694 0.3573 0.7710
Nb: 0.4701 0.3999 0.1325
Nb: 0.5299 0.6001 0.8675
Nb: 0.5306 0.6427 0.2290
Nb: 0.5485 0.8597 0.3154
Nb: 0.6001 0.0701 0.1325
Nb: 0.6039 0.8709 0.5933
Nb: 0.6427 0.1120 0.7710
Nb: 0.6667 0.3333 0.9630
Nb: 0.6888 0.5485 0.6846
Nb: 0.7331 0.6039 0.4067
Nb: 0.7813 0.8075 0.0435
Nb: 0.8075 0.0262 0.9565
Nb: 0.8597 0.3112 0.6846
Nb: 0.8709 0.2669 0.4067
Nb: 0.8880 0.5306 0.7710
Nb: 0.9299 0.5299 0.1325
Nb: 0.9738 0.7813 0.9565
Al: 0.3333 0.6667 0.7074
Al: 0.6667 0.3333 0.2926
O: 0.0034 0.2089 0.4551
O: 0.0352 0.2365 0.9104
O: 0.0643 0.2383 0.6453
O: 0.0770 0.2372 0.2703
O: 0.0925 0.5107 0.7282
O: 0.0959 0.4956 0.0849
O: 0.0997 0.4609 0.3612
O: 0.1064 0.4948 0.5636
O: 0.1312 0.6975 0.1809
O: 0.1367 0.7071 0.8289
O: 0.1602 0.9230 0.2703
O: 0.1615 0.7343 0.9998
O: 0.1740 0.9357 0.6453
O: 0.2013 0.9648 0.9104
O: 0.2056 0.9966 0.4551
O: 0.2089 0.2056 0.5449
O: 0.2365 0.2013 0.0896
O: 0.2372 0.1602 0.7297
O: 0.2383 0.1740 0.3547
O: 0.2657 0.4272 0.9998
O: 0.2929 0.4296 0.8289
O: 0.3025 0.4337 0.1809
O: 0.3333 0.6667 0.6414
O: 0.3333 0.6667 0.9024
O: 0.3613 0.9003 0.3612
O: 0.3884 0.8936 0.5636
O: 0.3997 0.9041 0.0849
O: 0.4182 0.9075 0.7282
O: 0.4272 0.1615 0.0002
O: 0.4296 0.1367 0.1711
O: 0.4337 0.1312 0.8191
O: 0.4609 0.3613 0.6388
O: 0.4893 0.5818 0.7282
O: 0.4948 0.3884 0.4364
O: 0.4956 0.3997 0.9151
O: 0.5044 0.6003 0.0849
O: 0.5052 0.6116 0.5636
O: 0.5107 0.4182 0.2718
O: 0.5391 0.6387 0.3612
O: 0.5663 0.8688 0.1809
O: 0.5704 0.8633 0.8289
O: 0.5728 0.8385 0.9998
O: 0.5818 0.0925 0.2718
O: 0.6003 0.0959 0.9151
O: 0.6116 0.1064 0.4364
O: 0.6387 0.0997 0.6388
O: 0.6667 0.3333 0.0976
O: 0.6667 0.3333 0.3586
O: 0.6975 0.5663 0.8191
O: 0.7071 0.5704 0.1711
O: 0.7343 0.5728 0.0002
O: 0.7617 0.8260 0.6453
O: 0.7628 0.8398 0.2703
O: 0.7635 0.7987 0.9104
O: 0.7911 0.7944 0.4551
O: 0.7944 0.0034 0.5449
O: 0.7987 0.0352 0.0896
O: 0.8260 0.0643 0.3547
O: 0.8385 0.2657 0.0002
O: 0.8398 0.0770 0.7297
O: 0.8633 0.2929 0.1711
O: 0.8688 0.3025 0.8191
O: 0.8936 0.5052 0.4364
O: 0.9003 0.5391 0.6388
O: 0.9041 0.5044 0.9151
O: 0.9075 0.4893 0.2718
O: 0.9230 0.7628 0.7297
O: 0.9357 0.7617 0.3547
O: 0.9648 0.7635 0.0896
O: 0.9966 0.7911 0.5449


# 6
NbAlSbO6: relaxed, PBE.

As for the density of states at the Fermi level: 0.243 states/eV per atom. For the raw formation energy, the calculation gives -2146 meV/atom. The electronic total energy is -7.445 eV/atom.

Cell lengths 5.0800, 5.0800, 8.9859 Å; angles 90.00, 90.00, 120.00 degrees
Sites, in units of the cell vectors:
Nb: 0.0000 0.0000 0.0000
Nb: 0.0000 0.0000 0.5000
Al: 0.3333 0.6667 0.2500
Al: 0.6667 0.3333 0.7500
Sb: 0.3333 0.6667 0.7500
Sb: 0.6667 0.3333 0.2500
O: 0.0227 0.3447 0.1307
O: 0.0227 0.6780 0.3693
O: 0.3220 0.3447 0.3693
O: 0.3220 0.9773 0.1307
O: 0.3447 0.0227 0.6307
O: 0.3447 0.3220 0.8693
O: 0.6553 0.6780 0.1307
O: 0.6553 0.9773 0.3693
O: 0.6780 0.0227 0.8693
O: 0.6780 0.6553 0.6307
O: 0.9773 0.3220 0.6307
O: 0.9773 0.6553 0.8693


# 7
ScNbAlO6: relaxed, PBE.

As for the density of states at the Fermi level: 0.511 states/eV per atom. For the raw formation energy, the calculation gives -2642 meV/atom. The electronic total energy is -8.185 eV/atom.

Cell lengths 5.1006, 5.1006, 4.5460 Å; angles 90.00, 90.00, 120.00 degrees
Sites, in units of the cell vectors:
Sc: 0.0000 0.0000 0.0000
Nb: 0.3333 0.6667 0.5000
Al: 0.6667 0.3333 0.5000
O: 0.3533 0.0132 0.7303
O: 0.3533 0.3401 0.2697
O: 0.6599 0.0132 0.2697
O: 0.6599 0.6467 0.7303
O: 0.9868 0.3401 0.7303
O: 0.9868 0.6467 0.2697


# 8
NbAlSnO6: relaxed, PBE.

As for the density of states at the Fermi level: 0.000 states/eV per atom. For the raw formation energy, the calculation gives -2295 meV/atom. The electronic total energy is -7.579 eV/atom.

Cell lengths 5.0668, 5.0668, 9.0119 Å; angles 90.00, 90.00, 120.00 degrees
Sites, in units of the cell vectors:
Nb: 0.3333 0.6667 0.2500
Nb: 0.6667 0.3333 0.7500
Al: 0.3333 0.6667 0.7500
Al: 0.6667 0.3333 0.2500
Sn: 0.0000 0.0000 0.0000
Sn: 0.0000 0.0000 0.5000
O: 0.0130 0.3514 0.6329
O: 0.0130 0.6615 0.8671
O: 0.3385 0.3514 0.8671
O: 0.3385 0.9870 0.6329
O: 0.3514 0.0130 0.1329
O: 0.3514 0.3385 0.3671
O: 0.6486 0.6615 0.6329
O: 0.6486 0.9870 0.8671
O: 0.6615 0.0130 0.3671
O: 0.6615 0.6486 0.1329
O: 0.9870 0.3385 0.1329
O: 0.9870 0.6486 0.3671


# 9
NbAlSnO2: relaxed, PBE.

As for the density of states at the Fermi level: 0.380 states/eV per atom. For the raw formation energy, the calculation gives 133 meV/atom. The electronic total energy is -5.413 eV/atom.

Cell lengths 3.9408, 3.9408, 5.7978 Å; angles 90.00, 90.00, 90.00 degrees
Sites, in units of the cell vectors:
Nb: 0.0000 0.0000 0.0000
Al: 0.5000 0.5000 0.0000
Sn: 0.5000 0.5000 0.5000
O: 0.0000 0.5000 0.5000
O: 0.5000 0.0000 0.5000


# 10
Sr3NbAl2O9: relaxed, PBE.

As for the density of states at the Fermi level: 0.399 states/eV per atom. For the raw formation energy, the calculation gives -2837 meV/atom. The electronic total energy is -7.319 eV/atom.

Cell lengths 5.5168, 5.5168, 6.7957 Å; angles 90.00, 90.00, 120.00 degrees
Sites, in units of the cell vectors:
Sr: 0.0000 0.0000 0.0000
Sr: 0.3333 0.6667 0.6781
Sr: 0.6667 0.3333 0.3219
Nb: 0.0000 0.0000 0.5000
Al: 0.3333 0.6667 0.1584
Al: 0.6667 0.3333 0.8416
O: 0.0000 0.5000 0.0000
O: 0.1707 0.3415 0.3281
O: 0.1707 0.8293 0.3281
O: 0.3415 0.1707 0.6719
O: 0.5000 0.0000 0.0000
O: 0.5000 0.5000 0.0000
O: 0.6585 0.8293 0.3281
O: 0.8293 0.1707 0.6719
O: 0.8293 0.6585 0.6719


# 11
SrNbAlO5: relaxed, PBE.

As for the density of states at the Fermi level: 0.000 states/eV per atom. For the raw formation energy, the calculation gives -2899 meV/atom. The electronic total energy is -7.935 eV/atom.

Cell lengths 5.7843, 5.7843, 7.5641 Å; angles 104.68, 104.68, 105.75 degrees
Sites, in units of the cell vectors:
Sr: 0.1695 0.8305 0.7500
Sr: 0.8305 0.1695 0.2500
Nb: 0.5000 0.5000 0.0000
Nb: 0.5000 0.5000 0.5000
Al: 0.1860 0.8140 0.2500
Al: 0.8140 0.1860 0.7500
O: 0.1339 0.2606 0.9035
O: 0.2024 0.6114 0.3929
O: 0.2606 0.1339 0.4035
O: 0.3886 0.7976 0.1071
O: 0.4362 0.5638 0.7500
O: 0.5638 0.4362 0.2500
O: 0.6114 0.2024 0.8929
O: 0.7394 0.8661 0.5965
O: 0.7976 0.3886 0.6071
O: 0.8661 0.7394 0.0965


# 12
Sr3NbAl2O8: relaxed, PBE.

As for the density of states at the Fermi level: 0.315 states/eV per atom. For the raw formation energy, the calculation gives -2798 meV/atom. The electronic total energy is -7.246 eV/atom.

Cell lengths 5.6365, 5.6365, 7.1438 Å; angles 90.00, 90.00, 120.00 degrees
Sites, in units of the cell vectors:
Sr: 0.0000 0.0000 0.0000
Sr: 0.3333 0.6667 0.6564
Sr: 0.6667 0.3333 0.3436
Nb: 0.0000 0.0000 0.5000
Al: 0.3333 0.6667 0.2125
Al: 0.6667 0.3333 0.7875
O: 0.1687 0.3374 0.3240
O: 0.1687 0.8313 0.3240
O: 0.3333 0.6667 0.9740
O: 0.3374 0.1687 0.6760
O: 0.6626 0.8313 0.3240
O: 0.6667 0.3333 0.0260
O: 0.8313 0.1687 0.6760
O: 0.8313 0.6626 0.6760


# 13
SrNb2AlO8: relaxed, PBE.

As for the density of states at the Fermi level: 0.282 states/eV per atom. For the raw formation energy, the calculation gives -2515 meV/atom. The electronic total energy is -7.950 eV/atom.

Cell lengths 5.1165, 5.1165, 6.9483 Å; angles 97.49, 97.49, 75.56 degrees
Sites, in units of the cell vectors:
Sr: 0.0000 0.0000 0.0000
Nb: 0.4217 0.4217 0.7598
Nb: 0.5783 0.5783 0.2402
Al: 0.0000 0.0000 0.5000
O: 0.2103 0.7720 0.6964
O: 0.2280 0.7897 0.3036
O: 0.2299 0.2299 0.5702
O: 0.3355 0.3355 0.9961
O: 0.6645 0.6645 0.0039
O: 0.7701 0.7701 0.4298
O: 0.7720 0.2103 0.6964
O: 0.7897 0.2280 0.3036